# Ca3NpP4, optimized geometry, DFT PBE-GGA
# calculated density: 4.19 g/cm3
# energy of formation from the pure elements: -980.8 meV per atom
data_Ca3NpP4
_cell_length_a 7.0410
_cell_length_b 8.1636
_cell_length_c 7.0610
_cell_angle_alpha 90.00
_cell_angle_beta 109.88
_cell_angle_gamma 90.00
_space_group_name_H-M_alt 'P 1 2/c 1'
_space_group_IT_number 13
loop_
_space_group_symop_operation_xyz
'x,y,z'
'-x,-y,-z'
'-x,y,-z+1/2'
'x,-y,z+1/2'
loop_
_atom_site_label
_atom_site_fract_x
_atom_site_fract_y
_atom_site_fract_z
Ca1 0.0000 0.1196 0.2500
Ca2 0.0000 0.3746 0.7500
Ca3 0.5000 0.1227 0.7500
Np1 0.5000 0.3699 0.2500
P1 0.2625 0.1448 0.0207
P2 0.2839 0.3925 0.4984